Record 1
This record from the Alexandria database describes a geometry-optimized MnAuIN2 structure. The functional is PBE.

Output
Crystal system ... tetragonal
Total moment ... 0.00 μB per formula unit
E_form (uncorrected) ... 4.6 eV per formula unit
DOS(E_F) ... 2.29 states/eV/f.u.
Mass density ... 8.21 g/cm3

Unit cell a=3.7630 b=3.7630 c=5.8109 alpha=90.00 beta=90.00 gamma=90.00
Space group P4/mmm (No. 123)
Asymmetric unit:
Mn 0.0000 0.0000 0.0000 x1
Au 0.5000 0.5000 0.5000 x1
I 0.0000 0.0000 0.5000 x1
N 0.0000 0.5000 0.0000 x2

Record 2
This record from the Alexandria database describes a geometry-optimized GdTiCd4 structure. The functional is PBE.

Output
Crystal system ... cubic
Total moment ... 9.82 μB per formula unit
Formation energy ... -5.6 kJ per mole of atoms
DOS(E_F) ... 5.27 states/eV/f.u.
Mass density ... 7.99 g/cm3

Unit cell a=8.1656 b=8.1656 c=8.1656 alpha=90.00 beta=90.00 gamma=90.00
Space group F-43m (No. 216)
Asymmetric unit:
Gd 0.0000 0.0000 0.0000 x4
Ti 0.2500 0.2500 0.7500 x4
Cd 0.1245 0.1245 0.3755 x16